No. 1
Compound: Ac2MnOsO8
Source: the Alexandria database
Functional: GGA+U
Structure: optimized geometry

Cell lengths 4.440, 5.459, 7.156 Å; angles 85.44, 91.49, 95.41 degrees
Each line ends with the local moment (μB).
Positions (direct):
Ac 0.310 0.510 0.748  0.01
Mn 0.000 0.000 0.500  3.93
O 0.787 0.682 0.553  0.00
O 0.806 0.271 0.880  0.13
O 0.213 0.318 0.447  0.00
O 0.194 0.729 0.120  0.13
Os 0.000 0.000 0.000  0.58
O 0.811 0.024 0.248  -0.02
O 0.306 0.228 0.062  0.00
Ac 0.690 0.490 0.252  0.01
O 0.189 0.976 0.752  -0.02
O 0.694 0.772 0.938  0.00


No. 2
Compound: AcMn2PO8
Source: the Alexandria database
Functional: GGA+U
Structure: optimized geometry

Cell lengths 4.877, 4.877, 6.718 Å; angles 90.00, 90.00, 120.00 degrees
Each line ends with the local moment (μB).
Positions (direct):
P 0.000 0.000 0.000  0.02
O 0.161 0.322 0.146  -0.26
O 0.839 0.161 0.854  -0.26
O 0.161 0.839 0.146  -0.26
O 0.333 0.667 0.597  -0.28
Mn 0.333 0.667 0.868  4.07
Mn 0.667 0.333 0.132  4.07
O 0.322 0.161 0.854  -0.26
O 0.678 0.839 0.146  -0.26
Ac 0.000 0.000 0.500  0.02
O 0.839 0.678 0.854  -0.26
O 0.667 0.333 0.403  -0.28


No. 3
Compound: Ac2MnPO6
Source: the Alexandria database
Functional: GGA+U
Structure: optimized geometry

Cell lengths 4.236, 5.583, 5.583 Å; angles 90.00, 90.00, 90.00 degrees
Each line ends with the local moment (μB).
Positions (direct):
O 0.663 0.230 0.230  -0.05
O 0.242 0.000 0.000  -0.01
O 0.127 0.500 0.500  0.03
Ac 0.093 0.000 0.500  0.01
O 0.663 0.770 0.770  -0.05
O 0.663 0.230 0.770  -0.05
Ac 0.093 0.500 0.000  0.01
O 0.663 0.770 0.230  -0.05
P 0.625 0.000 0.000  -0.23
Mn 0.615 0.500 0.500  4.49


| no. | DOS(E_F) (states/eV/f.u.) | total DFT energy (no corrections) (eV per atom) |
| --- | --- | --- |
| 1 | 1.3 | -7.64 |
| 2 | 4.8 | -6.95 |
| 3 | 0.9 | -7.54 |